{
  "formula": "TmHfNi",
  "functional": "PBE",
  "state": "relaxed",
  "magmom_total_mub_per_fu": 0.0,
  "e_form_ev_per_fu": -0.85,
  "lattice": [[3.313, 0.727, -0.446], [0.077, 6.251, -2.338], [0.878, -0.249, 6.106]],
  "species": ["Tm", "Hf", "Tm", "Hf", "Ni", "Ni"],
  "frac_coords": [[0.115, 0.694, 0.606], [0.395, 0.133, 0.584], [0.701, 0.521, 0.031], [0.421, 0.081, 0.054], [0.016, 0.891, 0.233], [0.799, 0.324, 0.404]]
}